1.
Computed, not measured: crystalline NaCa2CoC at its relaxed geometry at the GGA-PBE level of DFT.

Crystal system ... tetragonal
Magnetization ... 0.0 μB per formula unit
Calculated formation energy ... 0.113 eV per atom
Fermi-level density of states ... 2.9 states/eV/f.u.
Total DFT energy (no corrections) ... -21.1 eV for the cell shown

Lattice parameters (Å, degrees): 5.2756 5.2756 3.6966 90.00 90.00 90.00
Element x y z (fractional)
Na1 0.5000 0.5000 0.5000
Ca1 0.0000 0.5000 0.0000
Ca2 0.5000 0.0000 0.0000
Co1 0.0000 0.0000 0.5000
C1 0.0000 0.0000 0.0000

---

2.
Computed, not measured: crystalline CaCoNi2C at its relaxed geometry at the GGA-PBE level of DFT.

Crystal system ... tetragonal
Magnetization ... 0.0 μB per formula unit
Calculated formation energy ... 0.011 eV per atom
Fermi-level density of states ... 3.9 states/eV/f.u.
Total DFT energy (no corrections) ... -29.8 eV for the cell shown

Lattice parameters (Å, degrees): 3.9804 3.9804 3.8254 90.00 90.00 90.00
Element x y z (fractional)
Ni1 0.0000 0.5000 0.0000
Ni2 0.5000 0.0000 0.0000
Ca1 0.5000 0.5000 0.5000
Co1 0.0000 0.0000 0.5000
C1 0.0000 0.0000 0.0000

---

3.
Computed, not measured: crystalline CaCo2PC at its relaxed geometry at the GGA-PBE level of DFT.

Crystal system ... orthorhombic
Magnetization ... 0.0 μB per formula unit
Calculated formation energy ... -0.450 eV per atom
Fermi-level density of states ... 2.2 states/eV/f.u.
Total DFT energy (no corrections) ... -66.2 eV for the cell shown

Lattice parameters (Å, degrees): 3.7314 5.5039 6.6109 90.00 90.00 109.81
Element x y z (fractional)
Ca1 0.4514 0.9028 0.7500
Ca2 0.5486 0.0972 0.2500
Co1 0.1647 0.3295 0.9451
Co2 0.8353 0.6705 0.0549
Co3 0.1647 0.3295 0.5549
Co4 0.8353 0.6705 0.4451
P1 0.7306 0.4613 0.7500
P2 0.2694 0.5387 0.2500
C1 0.0000 0.0000 0.0000
C2 0.0000 0.0000 0.5000

---

4.
Computed, not measured: crystalline Ca2Co2P2C at its relaxed geometry at the GGA-PBE level of DFT.

Crystal system ... monoclinic
Magnetization ... 0.0 μB per formula unit
Calculated formation energy ... -0.632 eV per atom
Fermi-level density of states ... 4.6 states/eV/f.u.
Total DFT energy (no corrections) ... -42.7 eV for the cell shown

Lattice parameters (Å, degrees): 3.7967 5.6382 5.9213 70.93 71.30 70.32
Element x y z (fractional)
Ca1 0.5618 0.1884 0.6880
Ca2 0.4382 0.8116 0.3120
Co1 0.1873 0.6957 0.9297
Co2 0.8127 0.3043 0.0703
P1 0.1837 0.3657 0.2669
P2 0.8163 0.6343 0.7331
C1 0.0000 0.0000 0.0000

---

5.
Computed, not measured: crystalline CaCo2PbC at its relaxed geometry at the GGA-PBE level of DFT.

Crystal system ... tetragonal
Magnetization ... 3.2 μB per formula unit
Calculated formation energy ... 2.074 eV per atom
Fermi-level density of states ... 8.0 states/eV/f.u.
Total DFT energy (no corrections) ... -18.8 eV for the cell shown

Lattice parameters (Å, degrees): 4.8462 4.3965 4.8462 90.00 90.00 90.00
Each line ends with the local moment (μB).
Element x y z (fractional)
Pb1 0.5000 0.5000 0.5000  -0.03
Ca1 0.0000 0.0000 0.0000  -0.08
Co1 0.0000 0.0000 0.5000  1.52
Co2 0.5000 0.0000 0.0000  1.58
C1 0.0000 0.5000 0.0000  0.18

---

6.
Computed, not measured: crystalline RbCaCo2C at its relaxed geometry at the GGA-PBE level of DFT.

Crystal system ... tetragonal
Magnetization ... 2.1 μB per formula unit
Calculated formation energy ... 2.096 eV per atom
Fermi-level density of states ... 5.4 states/eV/f.u.
Total DFT energy (no corrections) ... -15.9 eV for the cell shown

Lattice parameters (Å, degrees): 5.6147 4.8492 5.6147 90.00 90.00 90.00
Each line ends with the local moment (μB).
Element x y z (fractional)
Ca1 0.0000 0.0000 0.0000  0.11
Co1 0.0000 0.0000 0.5000  -2.03
Co2 0.5000 0.0000 0.0000  -2.00
C1 0.0000 0.5000 0.0000  0.79
Rb1 0.5000 0.5000 0.5000  0.01